No. 1
## ScSbBr2 (SCAN)

Data for a crystal of ScSbBr2 relaxed with PBEsol.

Summary:
ρ (g/cm3): 5.7
Fermi-level density of states (states/eV/f.u.): 1.6
Formation energy from raw total energies (eV per atom): -0.389

CIF file:
```
data_ScSbBr2
_chemical_formula_sum 'Sc2 Sb2 Br4'
_cell_length_a 4.325
_cell_length_b 4.325
_cell_length_c 10.143
_cell_angle_alpha 90.00
_cell_angle_beta 90.00
_cell_angle_gamma 90.00
_space_group_name_H-M_alt 'I -4 m 2'
_space_group_IT_number 119
_space_group_name_Hall 'I -4 -2'
loop_
_atom_site_label
_atom_site_type_symbol
_atom_site_fract_x
_atom_site_fract_y
_atom_site_fract_z
Sc1 Sc 0.000 0.000 0.000
Sb1 Sb 0.000 0.500 0.750
Br1 Br 0.000 0.000 0.500
Br2 Br 0.000 0.500 0.250
```


No. 2
## ScSb2Br (SCAN)

Data for a crystal of ScSb2Br relaxed with PBEsol.

Summary:
ρ (g/cm3): 6.3
Fermi-level density of states (states/eV/f.u.): 3.0
Formation energy from raw total energies (eV per atom): -0.212

CIF file:
```
data_ScSb2Br
_chemical_formula_sum 'Sc3 Sb6 Br3'
_cell_length_a 3.4423
_cell_length_b 3.4423
_cell_length_c 28.5124
_cell_angle_alpha 90.00
_cell_angle_beta 90.00
_cell_angle_gamma 120.00
_space_group_name_H-M_alt 'R -3 m'
_space_group_IT_number 166
_space_group_name_Hall '-R 3 2"'
loop_
_atom_site_label
_atom_site_type_symbol
_atom_site_fract_x
_atom_site_fract_y
_atom_site_fract_z
Sc1 Sc 0.0000 0.0000 0.0000
Sb1 Sb 0.0000 0.0000 0.2536
Br1 Br 0.0000 0.0000 0.5000
```


No. 3
## ScSbSe2Br (SCAN)

Data for a crystal of ScSbSe2Br relaxed with PBEsol.

Summary:
ρ (g/cm3): 4.5
Fermi-level density of states (states/eV/f.u.): 0.4
Formation energy from raw total energies (eV per atom): -0.059

CIF file:
```
data_ScSbSe2Br
_chemical_formula_sum 'Sc1 Sb1 Se2 Br1'
_cell_length_a 5.335
_cell_length_b 5.335
_cell_length_c 5.240
_cell_angle_alpha 90.00
_cell_angle_beta 90.00
_cell_angle_gamma 90.00
_space_group_name_H-M_alt 'P 4/m m m'
_space_group_IT_number 123
_space_group_name_Hall '-P 4 2'
loop_
_atom_site_label
_atom_site_type_symbol
_atom_site_fract_x
_atom_site_fract_y
_atom_site_fract_z
Sc1 Sc 0.000 0.000 0.000
Sb1 Sb 0.500 0.500 0.500
Se1 Se 0.000 0.500 0.500
Br1 Br 0.500 0.500 0.000
```


No. 4
## ScSb2TeBr (SCAN)

Data for a crystal of ScSb2TeBr relaxed with PBEsol.

Summary:
ρ (g/cm3): 5.3
Fermi-level density of states (states/eV/f.u.): 2.5
Formation energy from raw total energies (eV per atom): -0.005

CIF file:
```
data_ScSb2TeBr
_chemical_formula_sum 'Sc1 Sb2 Te1 Br1'
_cell_length_a 5.435
_cell_length_b 5.435
_cell_length_c 5.286
_cell_angle_alpha 90.00
_cell_angle_beta 90.00
_cell_angle_gamma 90.00
_space_group_name_H-M_alt 'P 4/m m m'
_space_group_IT_number 123
_space_group_name_Hall '-P 4 2'
loop_
_atom_site_label
_atom_site_type_symbol
_atom_site_fract_x
_atom_site_fract_y
_atom_site_fract_z
Sc1 Sc 0.000 0.000 0.000
Sb1 Sb 0.000 0.500 0.000
Te1 Te 0.000 0.000 0.500
Br1 Br 0.500 0.500 0.500
```